Record 1
{"formula": "HoHfRe", "functional": "PBE", "state": "relaxed", "ef_ev_per_atom": -0.0365, "lattice": [[7.296, 0.000, 0.000], [-3.648, 6.318, 0.000], [0.000, 0.000, 4.256]], "species": ["Ho", "Ho", "Ho", "Hf", "Hf", "Hf", "Re", "Re", "Re"], "fractional_positions": [[0.000, 0.417, 0.000], [0.417, 0.000, 0.000], [0.583, 0.583, 0.000], [0.000, 0.750, 0.500], [0.250, 0.250, 0.500], [0.750, 0.000, 0.500], [0.000, 0.000, 0.000], [0.333, 0.667, 0.500], [0.667, 0.333, 0.500]]}


Record 2
{"formula": "HoHfZnRe", "functional": "PBE", "state": "relaxed", "ef_ev_per_atom": -0.1262, "lattice": [[0.000, 3.379, 3.379], [3.379, 0.000, 3.379], [3.379, 3.379, 0.000]], "species": ["Ho", "Hf", "Zn", "Re"], "fractional_positions": [[0.000, 0.000, 0.000], [0.500, 0.500, 0.500], [0.750, 0.750, 0.750], [0.250, 0.250, 0.250]]}


Record 3
{"formula": "Ho2HfRh4", "functional": "PBE", "state": "relaxed", "ef_ev_per_atom": -0.6037, "lattice": [[-2.331, 2.331, 6.286], [2.331, -2.331, 6.286], [2.331, 2.331, -6.286]], "species": ["Ho", "Ho", "Hf", "Rh", "Rh", "Rh", "Rh"], "fractional_positions": [[0.232, 0.232, 0.000], [0.768, 0.768, 0.000], [0.500, 0.500, 0.000], [0.115, 0.615, 0.500], [0.385, 0.885, 0.500], [0.615, 0.115, 0.500], [0.885, 0.385, 0.500]]}


Record 4
{"formula": "HoHf2Rh", "functional": "PBE", "state": "relaxed", "ef_ev_per_atom": -0.3034, "lattice": [[3.335, 0.000, 0.000], [0.000, 3.335, 0.000], [0.000, 0.000, 7.738]], "species": ["Ho", "Hf", "Hf", "Rh"], "fractional_positions": [[0.000, 0.000, 0.000], [0.500, 0.500, 0.298], [0.500, 0.500, 0.702], [0.000, 0.000, 0.500]]}


Record 5
{"formula": "HoHfRh4", "functional": "PBE", "state": "relaxed", "ef_ev_per_atom": -0.2962, "lattice": [[3.834, 0.000, 0.000], [0.000, 3.834, 0.000], [0.000, 0.000, 8.045]], "species": ["Ho", "Hf", "Rh", "Rh", "Rh", "Rh"], "fractional_positions": [[0.000, 0.000, 0.000], [0.500, 0.500, 0.500], [0.000, 0.500, 0.266], [0.000, 0.500, 0.734], [0.500, 0.000, 0.266], [0.500, 0.000, 0.734]]}


Record 6
{"formula": "Ho5HfRh6", "functional": "PBE", "state": "relaxed", "ef_ev_per_atom": -0.9037, "lattice": [[7.472, -3.476, 0.000], [7.472, 3.476, 0.000], [-1.493, 0.000, 4.489]], "species": ["Ho", "Ho", "Ho", "Ho", "Ho", "Hf", "Rh", "Rh", "Rh", "Rh", "Rh", "Rh"], "fractional_positions": [[0.000, 0.000, 0.000], [0.166, 0.166, 0.665], [0.332, 0.332, 0.332], [0.668, 0.668, 0.668], [0.834, 0.834, 0.335], [0.500, 0.500, 0.000], [0.099, 0.580, 0.840], [0.267, 0.733, 0.500], [0.420, 0.901, 0.160], [0.580, 0.099, 0.840], [0.733, 0.267, 0.500], [0.901, 0.420, 0.160]]}


Record 7
{"formula": "HoHf4Rh5", "functional": "PBE", "state": "relaxed", "ef_ev_per_atom": -0.8926, "lattice": [[3.281, 0.000, 0.000], [0.000, 3.281, 0.000], [0.000, 0.000, 16.761]], "species": ["Ho", "Hf", "Hf", "Hf", "Hf", "Rh", "Rh", "Rh", "Rh", "Rh"], "fractional_positions": [[0.000, 0.000, 0.000], [0.000, 0.000, 0.207], [0.000, 0.000, 0.403], [0.000, 0.000, 0.597], [0.000, 0.000, 0.793], [0.500, 0.500, 0.119], [0.500, 0.500, 0.309], [0.500, 0.500, 0.500], [0.500, 0.500, 0.691], [0.500, 0.500, 0.881]]}


Record 8
{"formula": "HoHfRh2", "functional": "PBE", "state": "relaxed", "ef_ev_per_atom": -0.9115, "lattice": [[3.311, 0.000, 0.000], [0.000, 3.311, 0.000], [0.000, 0.000, 6.828]], "species": ["Ho", "Hf", "Rh", "Rh"], "fractional_positions": [[0.000, 0.000, 0.000], [0.000, 0.000, 0.500], [0.500, 0.500, 0.274], [0.500, 0.500, 0.726]]}